# 1
DFT (PBE) results for a geometry-optimized Al7C3N3 structure.

Unit cell a=3.2515 b=3.2515 c=32.0768 alpha=90.00 beta=90.00 gamma=120.00
Atoms (fractional coordinates):
Al: 0.6672 0.3334 0.0302
Al: 0.3328 0.6664 0.5299
Al: 0.0010 0.0002 0.1083
Al: 0.9991 0.9995 0.6080
Al: 0.6678 0.3336 0.1870
Al: 0.3323 0.6660 0.6868
Al: 0.0011 0.0003 0.2587
Al: 0.9990 0.9994 0.7586
Al: 0.6677 0.3336 0.3164
Al: 0.3324 0.6660 0.8165
Al: 0.0005 0.0001 0.3889
Al: 0.9996 0.9996 0.8891
Al: 0.6664 0.3332 0.4682
Al: 0.3336 0.6666 0.9685
C: 0.0004 0.0000 0.0002
C: 0.9996 0.9998 0.5000
C: 0.6678 0.3336 0.2480
C: 0.3323 0.6660 0.7479
C: 0.0010 0.0003 0.3288
C: 0.9991 0.9994 0.8289
N: 0.6676 0.3336 0.0879
N: 0.3325 0.6662 0.5876
N: 0.0012 0.0003 0.1660
N: 0.9989 0.9994 0.6658
N: 0.6670 0.3334 0.4114
N: 0.3330 0.6664 0.9116

Calculated values
- Total moment: 0.000 μB/cell
- VASP energy: -0.4903 Ry/atom
- Energy relative to the elements, uncorrected: -606 meV per atom


# 2
DFT (PBE) results for a geometry-optimized BAuOF2 structure.

Unit cell a=4.5031 b=4.5031 c=2.6584 alpha=90.00 beta=90.00 gamma=90.00
Atoms (fractional coordinates):
B: 0.0000 0.0000 0.0000
Au: 0.5000 0.5000 0.5000
O: 0.0000 0.0000 0.5000
F: 0.0000 0.5000 0.0000
F: 0.5000 0.0000 0.0000

Calculated values
- Excess energy over the best structure of this formula in the dataset: 0.000 eV/atom
- Total moment: 0.000 μB/cell
- VASP energy: -0.3499 Ry/atom
- Energy relative to the elements, uncorrected: -1029 meV per atom